# 1
# CrWBr2

CrWBr2 after structural relaxation (PBE-GGA, the Alexandria database).

Cell lengths 8.110, 8.110, 8.110 Å; angles 157.03, 150.37, 37.82 degrees
Last column: magnetic moment on the atom in μB.
Positions (direct):
Br1 0.112 0.112 0.000  0.02
Br2 0.388 0.388 0.000  0.02
W1 0.250 0.750 0.500  -0.89
Cr1 0.750 0.250 0.500  2.99

Space group: Immm


# 2
# Nb2O5

Nb2O5 after structural relaxation (PBE-GGA, the Alexandria database).

Cell lengths 7.762, 11.513, 11.585 Å; angles 88.04, 80.30, 80.34 degrees
Positions (direct):
Nb1 0.301 0.112 0.679
Nb2 0.860 0.672 0.894
Nb3 0.904 0.792 0.565
Nb4 0.357 0.682 0.885
Nb5 0.699 0.888 0.321
Nb6 0.806 0.555 0.219
Nb7 0.643 0.318 0.115
Nb8 0.766 0.412 0.525
Nb9 0.579 0.207 0.439
Nb10 0.752 0.995 0.996
Nb11 0.804 0.114 0.676
Nb12 0.313 0.553 0.200
Nb13 0.194 0.445 0.781
Nb14 0.096 0.208 0.435
Nb15 0.234 0.588 0.475
Nb16 0.140 0.328 0.106
Nb17 0.687 0.447 0.800
Nb18 0.196 0.886 0.324
Nb19 0.248 0.005 0.004
Nb20 0.421 0.793 0.561
O1 0.878 0.738 0.714
O2 0.544 0.359 0.518
O3 0.276 0.065 0.834
O4 0.500 0.000 0.000
O5 0.873 0.359 0.139
O6 0.670 0.382 0.955
O7 0.256 0.692 0.291
O8 0.981 0.640 0.484
O9 0.787 0.477 0.370
O10 0.330 0.188 0.487
O11 0.074 0.507 0.189
O12 0.127 0.641 0.861
O13 0.656 0.038 0.392
O14 0.600 0.265 0.289
O15 0.227 0.927 0.167
O16 0.377 0.367 0.132
O17 0.926 0.493 0.811
O18 0.344 0.962 0.608
O19 0.744 0.308 0.709
O20 0.159 0.390 0.957
O21 0.807 0.834 0.935
O22 0.308 0.836 0.934
O23 0.828 0.206 0.486
O24 0.213 0.523 0.630
O25 0.193 0.166 0.065
O26 0.577 0.511 0.188
O27 0.841 0.610 0.043
O28 0.444 0.865 0.364
O29 0.868 0.965 0.607
O30 0.724 0.935 0.166
O31 0.670 0.812 0.513
O32 0.755 0.706 0.270
O33 0.019 0.360 0.516
O34 0.291 0.471 0.362
O35 0.400 0.735 0.711
O36 0.330 0.618 0.045
O37 0.556 0.135 0.636
O38 0.456 0.641 0.482
O39 0.172 0.794 0.514
O40 0.623 0.633 0.868
O41 0.245 0.294 0.730
O42 0.692 0.164 0.066
O43 0.132 0.035 0.393
O44 0.946 0.858 0.359
O45 0.000 0.000 0.000
O46 0.773 0.073 0.833
O47 0.054 0.142 0.641
O48 0.122 0.262 0.286
O49 0.423 0.489 0.812
O50 0.709 0.529 0.638

Space group: P-1


The calculation returns the following raw formation energy values, one per record and in order: 0.403 -2.534 eV per atom.